[1]
VASP calculation (PBE) on a relaxed CaAc5La12 crystal.

Calculated values
**DFT formation energy**: 0.03 eV/atom

Lattice parameters (Å, degrees): 11.4260 11.4260 6.5761 106.12 106.12 60.69
With the nearest neighbours (Å) after each atom.
Sites, in units of the cell vectors:
Ca  0.0000  0.0000  0.0000  2 Ac 3.84, 10 La 3.85-3.87
Ac  0.1663  0.1663  0.5028  10 La 3.79-3.89, 1 Ac 3.82, 1 Ca 3.84
Ac  0.3326  0.3326  0.0012  10 La 3.77-3.85, 2 Ac 3.82-3.83
Ac  0.5000  0.5000  0.5000  10 La 3.75-3.84, 2 Ac 3.83
Ac  0.6674  0.6674  0.9988  10 La 3.77-3.85, 2 Ac 3.82-3.83
Ac  0.8337  0.8337  0.4972  10 La 3.79-3.89, 1 Ac 3.82, 1 Ca 3.84
La  0.0053  0.6591  0.0027  7 La 3.69-4.00, 4 Ac 3.77-3.89, 1 Ca 3.87
La  0.1615  0.5057  0.5037  7 La 3.73-3.97, 5 Ac 3.79-3.85
La  0.1751  0.8249  0.5000  7 La 3.73-4.04, 3 Ac 3.75-3.85, 2 Ca 3.86
La  0.3333  0.6667  0.0000  7 La 3.76-3.85, 4 Ac 3.81-3.82, 1 Ca 3.85
La  0.3409  0.9947  0.9973  7 La 3.69-4.00, 4 Ac 3.77-3.89, 1 Ca 3.87
La  0.4943  0.8385  0.4963  7 La 3.73-3.97, 5 Ac 3.79-3.85
La  0.5057  0.1615  0.5037  7 La 3.73-3.97, 5 Ac 3.79-3.85
La  0.6591  0.0053  0.0027  7 La 3.69-4.00, 4 Ac 3.77-3.89, 1 Ca 3.87
La  0.6667  0.3333  0.0000  7 La 3.76-3.85, 4 Ac 3.81-3.82, 1 Ca 3.85
La  0.8249  0.1751  0.5000  7 La 3.73-4.04, 3 Ac 3.75-3.85, 2 Ca 3.86
La  0.8385  0.4943  0.4963  7 La 3.73-3.97, 5 Ac 3.79-3.85
La  0.9947  0.3409  0.9973  7 La 3.69-4.00, 4 Ac 3.77-3.89, 1 Ca 3.87

---

[2]
VASP calculation (PBE) on a relaxed HfHF2 crystal.

Calculated values
**Energy above the lowest structure with this stoichiometry**: 504 meV/atom

Lattice parameters (Å, degrees): 6.2899 6.2899 6.2899 28.08 28.08 28.08
With the nearest neighbours (Å) after each atom.
Sites, in units of the cell vectors:
Hf  0.0000  0.0000  0.0000  6 F 2.56
H  0.5000  0.5000  0.5000  2 F 1.16
F  0.4362  0.4362  0.4362  1 H 1.16
F  0.5638  0.5638  0.5638  1 H 1.16

---

[3]
VASP calculation (PBE) on a relaxed CuReSe2 crystal.

Calculated values
**Formation energy from raw total energies**: 0.260 eV per atom
**Energy above the lowest structure with this stoichiometry**: 81 meV/atom

Lattice parameters (Å, degrees): 6.8994 6.8994 6.8994 132.89 132.89 68.82
With the nearest neighbours (Å) after each atom.
Sites, in units of the cell vectors:
Cu  0.0000  0.0000  0.0000  4 Se 2.43
Cu  0.7500  0.2500  0.5000  4 Se 2.43
Re  0.2500  0.7500  0.5000  4 Se 2.40
Re  0.5000  0.5000  0.0000  4 Se 2.40
Se  0.1288  0.6250  0.0038  2 Re 2.40, 2 Cu 2.43
Se  0.3750  0.3788  0.5038  2 Re 2.40, 2 Cu 2.43
Se  0.6212  0.1250  0.9962  2 Re 2.40, 2 Cu 2.43
Se  0.8750  0.8712  0.4962  2 Re 2.40, 2 Cu 2.43

---

[4]
VASP calculation (PBE) on a relaxed CoHN2 crystal.

Calculated values
**Energy above the lowest structure with this stoichiometry**: 1204 meV/atom

Lattice parameters (Å, degrees): 4.9178 4.9178 4.9178 32.22 32.22 32.22
With the nearest neighbours (Å) after each atom.
Sites, in units of the cell vectors:
Co  0.0000  0.0000  0.0000  2 N 1.75
H  0.5000  0.5000  0.5000  6 N 1.68
N  0.1254  0.1254  0.1254  3 H 1.68, 1 Co 1.75
N  0.8746  0.8746  0.8746  3 H 1.68, 1 Co 1.75

---

[5]
VASP calculation (PBE) on a relaxed NdSmHgIr crystal.

Calculated values
**DFT formation energy**: -0.48 eV/atom
**Energy above the lowest structure with this stoichiometry**: 32 meV/atom

Lattice parameters (Å, degrees): 3.6942 5.1676 5.1302 90.00 90.00 90.00
With the nearest neighbours (Å) after each atom.
Sites, in units of the cell vectors:
Nd  0.0000  0.0000  0.0000  4 Ir 3.14-3.18, 4 Hg 3.18
Sm  0.0000  0.5000  0.5021  4 Hg 3.15-3.17, 4 Ir 3.18
Hg  0.5000  0.5000  0.0038  4 Sm 3.15-3.17, 4 Nd 3.18
Ir  0.5000  0.0000  0.4948  4 Nd 3.14-3.18, 4 Sm 3.18

---

[6]
VASP calculation (PBE) on a relaxed Dy2Y2Ga4Au crystal.

Calculated values
**DFT formation energy**: -0.35 eV/atom

Lattice parameters (Å, degrees): 6.6640 6.6640 6.6640 116.15 116.15 96.82
With the nearest neighbours (Å) after each atom.
Sites, in units of the cell vectors:
Dy  0.1859  0.1859  0.0000  1 Au 2.78, 4 Ga 2.96
Dy  0.8141  0.8141  0.0000  1 Au 2.78, 4 Ga 2.96
Y  0.2500  0.7500  0.5000  8 Ga 3.33, 4 Dy 3.57
Y  0.7500  0.2500  0.5000  8 Ga 3.33, 4 Dy 3.57
Ga  0.2465  0.2465  0.4931  1 Au 2.53
Ga  0.2465  0.7535  0.0000  1 Au 2.53
Ga  0.7535  0.2465  0.0000  1 Au 2.53
Ga  0.7535  0.7535  0.5069  1 Au 2.53
Au  0.5000  0.5000  0.0000  4 Ga 2.53, 2 Dy 2.78

---

[7]
VASP calculation (PBE) on a relaxed Ac3Zn5O12 crystal.

Calculated values
**Formation energy from raw total energies**: -1.780 eV per atom

Lattice parameters (Å, degrees): 11.4048 11.4048 11.4048 109.47 109.47 109.47
With the nearest neighbours (Å) after each atom.
Sites, in units of the cell vectors:
Ac  0.1250  0.2500  0.3750  8 O 2.51-2.66
Ac  0.1250  0.3750  0.7500  8 O 2.51-2.66
Ac  0.2500  0.3750  0.1250  8 O 2.51-2.66
Ac  0.2500  0.8750  0.6250  8 O 2.51-2.66
Ac  0.3750  0.1250  0.2500  8 O 2.51-2.66
Ac  0.3750  0.7500  0.1250  8 O 2.51-2.66
Ac  0.6250  0.2500  0.8750  8 O 2.51-2.66
Ac  0.6250  0.8750  0.7500  8 O 2.51-2.66
Ac  0.7500  0.1250  0.3750  8 O 2.51-2.66
Ac  0.7500  0.6250  0.8750  8 O 2.51-2.66
Ac  0.8750  0.6250  0.2500  8 O 2.51-2.66
Ac  0.8750  0.7500  0.6250  8 O 2.51-2.66
Zn  0.0000  0.0000  0.0000  6 O 2.11
Zn  0.0000  0.0000  0.5000  6 O 2.11
Zn  0.0000  0.5000  0.0000  6 O 2.11
Zn  0.0000  0.5000  0.5000  6 O 2.11
Zn  0.1250  0.7500  0.8750  4 O 1.97
Zn  0.1250  0.8750  0.2500  4 O 1.97
Zn  0.2500  0.1250  0.8750  4 O 1.97
Zn  0.2500  0.6250  0.3750  4 O 1.97
Zn  0.3750  0.2500  0.6250  4 O 1.97
Zn  0.3750  0.6250  0.7500  4 O 1.97
Zn  0.5000  0.0000  0.0000  6 O 2.11
Zn  0.5000  0.0000  0.5000  6 O 2.11
Zn  0.5000  0.5000  0.0000  6 O 2.11
Zn  0.5000  0.5000  0.5000  6 O 2.11
Zn  0.6250  0.3750  0.2500  4 O 1.97
Zn  0.6250  0.7500  0.3750  4 O 1.97
Zn  0.7500  0.3750  0.6250  4 O 1.97
Zn  0.7500  0.8750  0.1250  4 O 1.97
Zn  0.8750  0.1250  0.7500  4 O 1.97
Zn  0.8750  0.2500  0.1250  4 O 1.97
O  0.0238  0.2007  0.1213  2 Zn 1.97-2.11
O  0.0238  0.3231  0.9025  2 Zn 1.97-2.11
O  0.0794  0.7007  0.6769  2 Zn 1.97-2.11
O  0.0794  0.8787  0.4025  2 Zn 1.97-2.11
O  0.0975  0.6213  0.4206  2 Zn 1.97-2.11
O  0.0975  0.9762  0.6769  2 Zn 1.97-2.11
O  0.1213  0.0238  0.2007  2 Zn 1.97-2.11
O  0.1213  0.5975  0.9206  2 Zn 1.97-2.11
O  0.1769  0.2007  0.5794  2 Zn 1.97-2.11
O  0.1769  0.4762  0.5975  2 Zn 1.97-2.11
O  0.2007  0.1213  0.0238  2 Zn 1.97-2.11
O  0.2007  0.5794  0.1769  2 Zn 1.97-2.11
O  0.2993  0.3231  0.9206  2 Zn 1.97-2.11
O  0.2993  0.4762  0.3787  2 Zn 1.97-2.11
O  0.3231  0.9025  0.0238  2 Zn 1.97-2.11
O  0.3231  0.9206  0.2993  2 Zn 1.97-2.11
O  0.3787  0.2993  0.4762  2 Zn 1.97-2.11
O  0.3787  0.5794  0.9025  2 Zn 1.97-2.11
O  0.4025  0.0794  0.8787  2 Zn 1.97-2.11
O  0.4025  0.8231  0.5238  2 Zn 1.97-2.11
O  0.4206  0.0975  0.6213  2 Zn 1.97-2.11
O  0.4206  0.8231  0.7993  2 Zn 1.97-2.11
O  0.4762  0.3787  0.2993  2 Zn 1.97-2.11
O  0.4762  0.5975  0.1769  2 Zn 1.97-2.11
O  0.5238  0.4025  0.8231  2 Zn 1.97-2.11
O  0.5238  0.6213  0.7007  2 Zn 1.97-2.11
O  0.5794  0.1769  0.2007  2 Zn 1.97-2.11
O  0.5794  0.9025  0.3787  2 Zn 1.97-2.11
O  0.5975  0.1769  0.4762  2 Zn 1.97-2.11
O  0.5975  0.9206  0.1213  2 Zn 1.97-2.11
O  0.6213  0.4206  0.0975  2 Zn 1.97-2.11
O  0.6213  0.7007  0.5238  2 Zn 1.97-2.11
O  0.6769  0.0794  0.7007  2 Zn 1.97-2.11
O  0.6769  0.0975  0.9762  2 Zn 1.97-2.11
O  0.7007  0.5238  0.6213  2 Zn 1.97-2.11
O  0.7007  0.6769  0.0794  2 Zn 1.97-2.11
O  0.7993  0.4206  0.8231  2 Zn 1.97-2.11
O  0.7993  0.8787  0.9762  2 Zn 1.97-2.11
O  0.8231  0.5238  0.4025  2 Zn 1.97-2.11
O  0.8231  0.7993  0.4206  2 Zn 1.97-2.11
O  0.8787  0.4025  0.0794  2 Zn 1.97-2.11
O  0.8787  0.9762  0.7993  2 Zn 1.97-2.11
O  0.9025  0.0238  0.3231  2 Zn 1.97-2.11
O  0.9025  0.3787  0.5794  2 Zn 1.97-2.11
O  0.9206  0.1213  0.5975  2 Zn 1.97-2.11
O  0.9206  0.2993  0.3231  2 Zn 1.97-2.11
O  0.9762  0.6769  0.0975  2 Zn 1.97-2.11
O  0.9762  0.7993  0.8787  2 Zn 1.97-2.11

---

[8]
VASP calculation (PBE) on a relaxed ErPuHg2O6 crystal.

Calculated values
**Formation energy from raw total energies**: -1.938 eV per atom

Lattice parameters (Å, degrees): 6.0960 6.0960 6.0960 56.86 56.86 56.86
With the nearest neighbours (Å) after each atom.
Sites, in units of the cell vectors:
Er  0.0000  0.0000  0.0000  6 O 2.26
Pu  0.5000  0.5000  0.5000  6 O 2.16
Hg  0.2528  0.2528  0.2528  3 O 2.24
Hg  0.7472  0.7472  0.7472  3 O 2.24
O  0.1413  0.7396  0.3716  1 Pu 2.16, 1 Hg 2.24, 1 Er 2.26
O  0.2604  0.6284  0.8587  1 Pu 2.16, 1 Hg 2.24, 1 Er 2.26
O  0.3716  0.1413  0.7396  1 Pu 2.16, 1 Hg 2.24, 1 Er 2.26
O  0.6284  0.8587  0.2604  1 Pu 2.16, 1 Hg 2.24, 1 Er 2.26
O  0.7396  0.3716  0.1413  1 Pu 2.16, 1 Hg 2.24, 1 Er 2.26
O  0.8587  0.2604  0.6284  1 Pu 2.16, 1 Hg 2.24, 1 Er 2.26

---

[9]
VASP calculation (PBE) on a relaxed Be2AsW crystal.

Calculated values
**DFT formation energy**: 0.31 eV/atom

Lattice parameters (Å, degrees): 4.6879 4.6879 4.6879 135.42 135.42 64.88
With the nearest neighbours (Å) after each atom.
Sites, in units of the cell vectors:
Be  0.2500  0.7500  0.5000  4 Be 2.51, 4 W 2.66, 4 As 2.66
Be  0.7500  0.2500  0.5000  4 Be 2.51, 4 W 2.66, 4 As 2.66
As  0.0000  0.0000  0.0000  4 W 2.51, 8 Be 2.66
W  0.5000  0.5000  0.0000  4 As 2.51, 8 Be 2.66

---

[10]
VASP calculation (PBE) on a relaxed CaLa3Ru crystal.

Calculated values
**DFT formation energy**: -0.16 eV/atom
**Energy above the lowest structure with this stoichiometry**: 15 meV/atom

Lattice parameters (Å, degrees): 7.9318 7.9318 6.9810 106.59 106.59 60.15
With the nearest neighbours (Å) after each atom.
Sites, in units of the cell vectors:
Ca  0.1113  0.8887  0.5000  1 Ru 2.91
Ca  0.8887  0.1113  0.0000  1 Ru 2.91
La  0.1255  0.3782  0.5050  1 Ru 2.59
La  0.3782  0.1255  0.0050  1 Ru 2.59
La  0.3900  0.6184  0.0085  2 Ru 2.76-2.97
La  0.6184  0.3900  0.5085  2 Ru 2.76-2.97
La  0.6187  0.8744  0.5110  2 Ru 2.81-2.85
La  0.8744  0.6187  0.0110  2 Ru 2.81-2.85
Ru  0.4862  0.7797  0.7796  4 La 2.59-2.85
Ru  0.7797  0.4862  0.2796  4 La 2.59-2.85